## HgAs2Pb2O6 (PBE)

Data for a relaxed structure of HgAs2Pb2O6.

Cell: 6.031 7.514 7.283 Å, 119.93 89.15 66.46°
Atoms (fractional coordinates):
Hg 0.500 0.000 0.500
As 0.105 0.781 0.870
As 0.895 0.219 0.130
Pb 0.801 0.401 0.769
Pb 0.199 0.599 0.231
O 0.378 0.679 0.944
O 0.081 0.307 0.049
O 0.146 0.707 0.607
O 0.919 0.693 0.951
O 0.854 0.293 0.393
O 0.622 0.321 0.056

Computed properties:
- symmetry = No. 2
- calculated total energy (eV for the cell shown) = -58.05
- ΔE_f (raw) (kJ per mole of atoms) = -99.0